[1]
First-principles (PBE-GGA) data for a geometry-optimized SrPm2Ir structure, as listed in Alexandria.

Theoretical density, g/cm3: 5.74
E, eV/atom: -5.270
Energy above the most stable polymorph in this dataset, meV/atom: 120.8
Formation energy from the elements, eV/atom: -0.259

Cell: 4.1459 4.1459 33.1969 Å, 90.00 90.00 120.00°
Space group R-3m (No. 166, hexagonal axes)
Symmetry-distinct sites (fractional):
Sr 0.0000 0.0000 0.0000
Pm 0.0000 0.0000 0.1220
Ir 0.0000 0.0000 0.5000

=====

[2]
First-principles (PBE-GGA) data for a geometry-optimized SrPm2Ir structure, as listed in Alexandria.

Theoretical density, g/cm3: 7.57
E, eV/atom: -5.351
Energy above the most stable polymorph in this dataset, meV/atom: 39.4
Formation energy from the elements, eV/atom: -0.340

Cell: 4.198 13.035 9.131 Å, 90.00 90.00 90.00°
Space group Cmcm (No. 63)
Symmetry-distinct sites (fractional):
Sr 0.000 0.066 0.250
Pm 0.000 0.348 0.062
Ir 0.000 0.238 0.750

=====

[3]
First-principles (PBE-GGA) data for a geometry-optimized SrPm4Ir4 structure, as listed in Alexandria.

Theoretical density, g/cm3: 9.62
E, eV/atom: -6.697
Formation energy from the elements, eV/atom: -0.460

Cell: 9.295 9.295 5.738 Å, 90.00 90.00 90.00°
Space group P4_2/n (No. 86, origin choice 2)
Symmetry-distinct sites (fractional):
Sr 0.250 0.250 0.250
Pm 0.086 0.651 0.140
Ir 0.045 0.609 0.640

=====

[4]
First-principles (PBE-GGA) data for a geometry-optimized SrPmIr4 structure, as listed in Alexandria.

Theoretical density, g/cm3: 14.54
E, eV/atom: -7.471
Formation energy from the elements, eV/atom: -0.492

Cell: 7.705 7.705 7.705 Å, 90.00 90.00 90.00°
Space group F-43m (No. 216)
Symmetry-distinct sites (fractional):
Sr 0.000 0.000 0.000
Pm 0.250 0.250 0.750
Ir 0.125 0.125 0.375

=====

[5]
First-principles (PBE-GGA) data for a geometry-optimized SrPm8Ir6 structure, as listed in Alexandria.

Theoretical density, g/cm3: 10.27
E, eV/atom: -6.763
Formation energy from the elements, eV/atom: -0.573

Cell: 8.5888 8.5888 18.2370 Å, 90.00 90.00 120.00°
Space group R-3 (No. 148, hexagonal axes)
Symmetry-distinct sites (fractional):
Sr 0.0000 0.0000 0.0000
Pm 0.0000 0.0000 0.3291
Pm 0.0038 0.3445 0.7776
Ir 0.0007 0.3488 0.9398

=====

[6]
First-principles (PBE-GGA) data for a geometry-optimized SrPm3Ir2 structure, as listed in Alexandria.

Theoretical density, g/cm3: 9.10
E, eV/atom: -5.970
Formation energy from the elements, eV/atom: -0.361

Cell: 14.805 5.335 8.421 Å, 90.00 95.18 90.00°
Space group C2/m (No. 12)
Symmetry-distinct sites (fractional):
Sr 0.156 0.000 0.306
Pm 0.067 0.000 0.819
Pm 0.120 0.500 0.556
Pm 0.166 0.500 0.024
Ir 0.016 0.500 0.224
Ir 0.224 0.000 0.668

=====

[7]
First-principles (PBE-GGA) data for a geometry-optimized SrPm12Ir6 structure, as listed in Alexandria.

Theoretical density, g/cm3: 8.76
E, eV/atom: -6.355
Formation energy from the elements, eV/atom: -0.468

Cell: 13.7753 13.7753 10.3201 Å, 90.00 90.00 120.00°
Space group R-3m (No. 166, hexagonal axes)
Symmetry-distinct sites (fractional):
Sr 0.0000 0.0000 0.0000
Pm 0.0000 0.3755 0.5000
Pm 0.0877 0.1754 0.3612
Ir 0.0445 0.5223 0.2715

=====

[8]
First-principles (PBE-GGA) data for a geometry-optimized SrPm3Ir structure, as listed in Alexandria.

Theoretical density, g/cm3: 6.56
E, eV/atom: -5.210
Energy above the most stable polymorph in this dataset, meV/atom: 5.8
Formation energy from the elements, eV/atom: -0.251

Cell: 4.145 9.213 9.483 Å, 90.00 90.00 90.00°
Space group Pmmn (No. 59, origin choice 2)
Symmetry-distinct sites (fractional):
Sr 0.250 0.250 0.040
Pm 0.250 0.563 0.646
Pm 0.250 0.750 0.312
Ir 0.250 0.250 0.484

=====

[9]
First-principles (PBE-GGA) data for a geometry-optimized SrPm4Ir structure, as listed in Alexandria.

Theoretical density, g/cm3: 6.61
E, eV/atom: -5.119
Formation energy from the elements, eV/atom: -0.195

Cell: 17.042 6.830 7.750 Å, 90.00 106.62 90.00°
Space group C2/c (No. 15)
Symmetry-distinct sites (fractional):
Sr 0.000 0.074 0.250
Pm 0.098 0.422 0.959
Pm 0.205 0.097 0.647
Ir 0.250 0.250 0.000

=====

[10]
First-principles (PBE-GGA) data for a geometry-optimized SrPm3Ir8 structure, as listed in Alexandria.

Theoretical density, g/cm3: 15.06
E, eV/atom: -7.847
Formation energy from the elements, eV/atom: -0.612

Cell: 5.4357 5.4357 26.6271 Å, 90.00 90.00 120.00°
Space group R3m (No. 160, hexagonal axes)
Symmetry-distinct sites (fractional):
Sr 0.0000 0.0000 0.0000
Pm 0.0000 0.0000 0.1241
Pm 0.0000 0.0000 0.5009
Pm 0.0000 0.0000 0.6268
Ir 0.0000 0.0000 0.3129
Ir 0.0000 0.0000 0.8129
Ir 0.0016 0.5008 0.0641
Ir 0.1676 0.3352 0.8952

=====

[11]
First-principles (PBE-GGA) data for a geometry-optimized SrPm3Ir structure, as listed in Alexandria.

Theoretical density, g/cm3: 6.52
E, eV/atom: -5.216
Energy above the most stable polymorph in this dataset, meV/atom: 0.0
Formation energy from the elements, eV/atom: -0.257

Cell: 5.668 5.668 5.668 Å, 90.00 90.00 90.00°
Space group Pm-3m (No. 221)
Symmetry-distinct sites (fractional):
Sr 0.000 0.000 0.000
Pm 0.000 0.500 0.500
Ir 0.500 0.500 0.500

=====

[12]
First-principles (PBE-GGA) data for a geometry-optimized SrPm2Ir structure, as listed in Alexandria.

Theoretical density, g/cm3: 7.19
E, eV/atom: -5.292
Energy above the most stable polymorph in this dataset, meV/atom: 98.4
Formation energy from the elements, eV/atom: -0.281

Cell: 3.620 3.620 10.047 Å, 90.00 90.00 90.00°
Space group P4/mmm (No. 123)
Symmetry-distinct sites (fractional):
Sr 0.000 0.000 0.000
Pm 0.500 0.500 0.339
Ir 0.000 0.000 0.500

=====

[13]
First-principles (PBE-GGA) data for a geometry-optimized Sr2PmIr9 structure, as listed in Alexandria.

Theoretical density, g/cm3: 15.16
E, eV/atom: -7.599
Formation energy from the elements, eV/atom: -0.277

Cell: 5.4079 5.4079 26.6031 Å, 90.00 90.00 120.00°
Space group R-3m (No. 166, hexagonal axes)
Symmetry-distinct sites (fractional):
Sr 0.0000 0.0000 0.1420
Pm 0.0000 0.0000 0.0000
Ir 0.0000 0.0000 0.3316
Ir 0.0000 0.0000 0.5000
Ir 0.0063 0.5031 0.0793

=====

[14]
First-principles (PBE-GGA) data for a geometry-optimized PmTa2Ir2 structure, as listed in Alexandria.

Theoretical density, g/cm3: 14.08
E, eV/atom: -9.852
Formation energy from the elements, eV/atom: -0.617

Cell: 4.455 4.455 10.593 Å, 90.00 90.00 90.00°
Space group I4/mmm (No. 139)
Symmetry-distinct sites (fractional):
Pm 0.000 0.000 0.000
Ta 0.000 0.500 0.250
Ir 0.000 0.000 0.375

=====

[15]
First-principles (PBE-GGA) data for a geometry-optimized PmTaVIr2 structure, as listed in Alexandria.

Theoretical density, g/cm3: 12.70
E, eV/atom: -9.240
Formation energy from the elements, eV/atom: -0.552

Cell: 4.348 4.348 10.530 Å, 90.00 90.00 90.00°
Space group I-4m2 (No. 119)
Symmetry-distinct sites (fractional):
Pm 0.000 0.000 0.000
Ta 0.000 0.500 0.250
V 0.000 0.500 0.750
Ir 0.000 0.000 0.374

=====

[16]
First-principles (PBE-GGA) data for a geometry-optimized TbPm2Ir2 structure, as listed in Alexandria.

Theoretical density, g/cm3: 10.99
E, eV/atom: -7.022
Energy above the most stable polymorph in this dataset, meV/atom: 0.0
Formation energy from the elements, eV/atom: -0.651

Cell: 4.926 4.893 10.453 Å, 90.00 90.03 90.00°
Space group P2_1/m (No. 11)
Symmetry-distinct sites (fractional):
Tb 0.249 0.250 0.339
Pm 0.250 0.250 0.003
Pm 0.250 0.250 0.669
Ir 0.250 0.750 0.162
Ir 0.250 0.750 0.508

=====

[17]
First-principles (PBE-GGA) data for a geometry-optimized TbPmIr4 structure, as listed in Alexandria.

Theoretical density, g/cm3: 16.03
E, eV/atom: -8.232
Formation energy from the elements, eV/atom: -0.762

Cell: 7.633 7.633 7.633 Å, 90.00 90.00 90.00°
Space group F-43m (No. 216)
Symmetry-distinct sites (fractional):
Tb 0.000 0.000 0.000
Pm 0.250 0.250 0.250
Ir 0.125 0.125 0.625

=====

[18]
First-principles (PBE-GGA) data for a geometry-optimized TbPmIr structure, as listed in Alexandria.

Theoretical density, g/cm3: 10.05
E, eV/atom: -6.691
Energy above the most stable polymorph in this dataset, meV/atom: 0.0
Formation energy from the elements, eV/atom: -0.611

Cell: 6.896 6.896 6.896 Å, 90.00 90.00 90.00°
Space group F-43m (No. 216)
Symmetry-distinct sites (fractional):
Tb 0.000 0.000 0.000
Pm 0.000 0.000 0.500
Ir 0.250 0.250 0.750

=====

[19]
First-principles (PBE-GGA) data for a geometry-optimized TbPm3Ir2 structure, as listed in Alexandria.

Theoretical density, g/cm3: 9.43
E, eV/atom: -6.649
Energy above the most stable polymorph in this dataset, meV/atom: 65.1
Formation energy from the elements, eV/atom: -0.548

Cell: 6.913 13.824 7.214 Å, 90.00 90.00 90.00°
Space group Ibam (No. 72)
Symmetry-distinct sites (fractional):
Tb 0.000 0.000 0.000
Pm 0.000 0.235 0.250
Pm 0.000 0.500 0.250
Ir 0.216 0.363 0.000

=====

[20]
First-principles (PBE-GGA) data for a geometry-optimized TbPm3Ir structure, as listed in Alexandria.

Theoretical density, g/cm3: 7.54
E, eV/atom: -5.694
Energy above the most stable polymorph in this dataset, meV/atom: 201.3
Formation energy from the elements, eV/atom: -0.146

Cell: 5.573 5.573 5.573 Å, 90.00 90.00 90.00°
Space group Pm-3m (No. 221)
Symmetry-distinct sites (fractional):
Tb 0.000 0.000 0.000
Pm 0.000 0.500 0.500
Ir 0.500 0.500 0.500

=====

[21]
First-principles (PBE-GGA) data for a geometry-optimized Tb2PmIr2 structure, as listed in Alexandria.

Theoretical density, g/cm3: 10.92
E, eV/atom: -7.024
Energy above the most stable polymorph in this dataset, meV/atom: 5.5
Formation energy from the elements, eV/atom: -0.678

Cell: 5.538 4.427 10.600 Å, 90.00 97.30 90.00°
Space group P2_1/m (No. 11)
Symmetry-distinct sites (fractional):
Tb 0.105 0.250 0.383
Tb 0.249 0.250 0.030
Pm 0.405 0.250 0.711
Ir 0.231 0.750 0.862
Ir 0.343 0.750 0.523

=====

[22]
First-principles (PBE-GGA) data for a geometry-optimized TbPm3Ir structure, as listed in Alexandria.

Theoretical density, g/cm3: 8.23
E, eV/atom: -5.895
Energy above the most stable polymorph in this dataset, meV/atom: 0.0
Formation energy from the elements, eV/atom: -0.347

Cell: 8.816 8.287 8.683 Å, 90.00 90.00 90.00°
Space group Ima2 (No. 46)
Symmetry-distinct sites (fractional):
Tb 0.250 0.046 0.000
Pm 0.054 0.708 0.200
Pm 0.250 0.042 0.396
Ir 0.250 0.134 0.700

=====

[23]
First-principles (PBE-GGA) data for a geometry-optimized Tb2PmIr structure, as listed in Alexandria.

Theoretical density, g/cm3: 8.19
E, eV/atom: -5.875
Energy above the most stable polymorph in this dataset, meV/atom: 378.0
Formation energy from the elements, eV/atom: -0.157

Cell: 3.8073 3.8073 31.7292 Å, 90.00 90.00 120.00°
Space group R-3m (No. 166, hexagonal axes)
Symmetry-distinct sites (fractional):
Tb 0.0000 0.0000 0.1150
Pm 0.0000 0.0000 0.0000
Ir 0.0000 0.0000 0.5000